Below is a geometry-optimized BaP2Ru structure, with properties calculated at the PBE level. Values from VASP.

Geometry as Quantum ESPRESSO input:
```
&SYSTEM
  ibrav = 0, nat = 4, ntyp = 3
/
ATOMIC_SPECIES
P 30.97 P.upf
Ba 137.33 Ba.upf
Ru 101.07 Ru.upf
ATOMIC_POSITIONS crystal
P 0.218 0.218 0.369
P 0.951 0.951 0.109
Ba 0.761 0.761 0.736
Ru 0.570 0.570 0.286
CELL_PARAMETERS angstrom
4.013 -0.355 0.419
2.471 3.183 0.419
1.560 0.680 6.503
```

Computed properties:
Electronic total energy, eV per atom: -6.057
Formation enthalpy at 0 K, kJ/mol of formula units: -213
Total magnetization, μB/f.u.: 0.000